A:
Ta3Mo5: single point on PBEsol structure, meta-GGA SCAN.

```
Ta3Mo5
1.0
-0.263 2.229 -3.891
-4.413 -2.469 1.477
0.281 5.527 3.147
Mo Ta
5 3
direct
0.998 0.996 0.003
0.750 0.500 0.128
0.501 0.003 0.249
0.250 0.501 0.373
0.750 0.500 0.623
0.997 0.994 0.492
0.504 0.007 0.753
0.249 0.499 0.879
```

Values from the calculation:
For the theoretical density, the calculation gives 13236 kg/m3.

B:
Ta3Mo5: single point on PBEsol structure, meta-GGA SCAN.

```
Ta3Mo5
1.0
4.486 0.000 0.000
0.000 4.486 0.000
-2.243 -2.243 6.376
Mo Ta
5 3
direct
0.998 0.998 0.995
0.377 0.877 0.753
0.752 0.752 0.503
0.496 0.496 0.993
0.877 0.377 0.753
0.123 0.623 0.247
0.254 0.254 0.508
0.623 0.123 0.247
```

Values from the calculation:
For the theoretical density, the calculation gives 13231 kg/m3.

C:
Ta3Mo5: single point on PBEsol structure, meta-GGA SCAN.

```
Ta3Mo5
1.0
-0.799 -0.187 -2.645
-6.578 -1.637 1.181
-2.831 6.298 -0.596
Mo Ta
5 3
direct
0.002 0.745 0.752
0.251 0.621 0.124
0.500 0.500 0.500
0.749 0.379 0.876
0.998 0.255 0.248
0.239 0.130 0.624
0.500 0.000 0.000
0.761 0.870 0.376
```

Values from the calculation:
For the theoretical density, the calculation gives 13228 kg/m3.

D:
Ta3Mo5: single point on PBEsol structure, meta-GGA SCAN.

```
Ta3Mo5
1.0
5.286 0.007 0.000
-2.440 4.689 0.000
-0.934 -1.541 5.176
Mo Ta
5 3
direct
0.004 0.996 0.000
0.004 0.500 0.751
0.996 0.004 0.500
0.496 0.504 0.000
0.500 0.996 0.249
0.995 0.500 0.249
0.500 0.005 0.751
0.506 0.494 0.500
```

Values from the calculation:
For the theoretical density, the calculation gives 13226 kg/m3.

Which is more stable than every other structure shown? D is more stable than every other one.